FeB2WBr at its PBEsol-relaxed geometry. Source: the Alexandria database, functional SCAN.

The formation energy (no corrections) comes out at 1596 meV/atom. The calculation puts the total energy at -22.83 eV per atom. The value obtained for the calculated density is 6575 kg/m3.

The space group is P4/mmm (No. 123) and the conventional cell measures 4.131, 4.131 and 5.051 Å, with angles of 90.00, 90.00 and 90.00 degrees. The distinct sites, in fractional coordinates, are Fe at (0.000, 0.000, 0.000), B at (0.000, 0.500, 0.500), W at (0.000, 0.000, 0.500) and Br at (0.500, 0.500, 0.000).

***

GeB2Br at its PBEsol-relaxed geometry. Source: the Alexandria database, functional SCAN.

The formation energy (no corrections) comes out at 2081 meV/atom. The calculation puts the total energy at -11.27 eV per atom. The value obtained for the calculated density is 5267 kg/m3.

The space group is Fm-3m (No. 225) and the conventional cell measures 6.033, 6.033 and 6.033 Å, with angles of 90.00, 90.00 and 90.00 degrees. The distinct sites, in fractional coordinates, are Ge at (0.000, 0.000, 0.000), B at (0.250, 0.250, 0.250) and Br at (0.000, 0.000, 0.500).

***

Zr2GeBBr at its PBEsol-relaxed geometry. Source: the Alexandria database, functional SCAN.

The formation energy (no corrections) comes out at 412 meV/atom. The calculation puts the total energy at -21.06 eV per atom. The value obtained for the calculated density is 5924 kg/m3.

The space group is P4/mmm (No. 123) and the conventional cell measures 5.123, 5.123 and 3.693 Å, with angles of 90.00, 90.00 and 90.00 degrees. The distinct sites, in fractional coordinates, are Zr at (0.000, 0.500, 0.000), Ge at (0.000, 0.000, 0.000), B at (0.000, 0.000, 0.500) and Br at (0.500, 0.500, 0.500).